[1]
Crystalline MgOs2Br at its relaxed geometry, computed with PBE.

abc: 3.009 2.990 7.948
angles: 90.00 95.58 90.00
Fractional positions:
Mg (0.000, 0.000, 0.000)
Os (0.433, 0.500, 0.765)
Os (0.884, 0.000, 0.574)
Br (0.793, 0.500, 0.296)

Calculated values
uncorrected energy	-0.2270	Ha/atom
Fermi-level density of states	0.67	states/eV/atom
crystal system	monoclinic
space group	No. 6
excess energy over the best structure of this formula in the dataset	0.0000	eV/atom


[2]
Crystalline Sr2CrGaN at its relaxed geometry, computed with PBE.

abc: 5.479 5.479 3.818
angles: 90.00 90.00 90.00
Fractional positions:
Sr (0.000, 0.500, 0.000)
Sr (0.500, 0.000, 0.000)
Cr (0.000, 0.000, 0.500)
Ga (0.500, 0.500, 0.500)
N (0.000, 0.000, 0.000)

Calculated values
uncorrected energy	-0.1928	Ha/atom
Fermi-level density of states	0.55	states/eV/atom
crystal system	tetragonal
space group	No. 123


[3]
Crystalline Cr3Co3C at its relaxed geometry, computed with PBE.

abc: 7.412 7.412 7.412
angles: 60.00 60.00 60.00
Fractional positions:
Cr (0.075, 0.075, 0.675)
Cr (0.075, 0.675, 0.075)
Cr (0.075, 0.675, 0.675)
Cr (0.325, 0.325, 0.925)
Cr (0.325, 0.925, 0.325)
Cr (0.325, 0.925, 0.925)
Cr (0.675, 0.075, 0.075)
Cr (0.675, 0.075, 0.675)
Cr (0.675, 0.675, 0.075)
Cr (0.925, 0.325, 0.325)
Cr (0.925, 0.325, 0.925)
Cr (0.925, 0.925, 0.325)
Co (0.000, 0.500, 0.500)
Co (0.288, 0.288, 0.288)
Co (0.288, 0.288, 0.636)
Co (0.288, 0.636, 0.288)
Co (0.364, 0.712, 0.712)
Co (0.500, 0.000, 0.500)
Co (0.500, 0.500, 0.000)
Co (0.500, 0.500, 0.500)
Co (0.636, 0.288, 0.288)
Co (0.712, 0.364, 0.712)
Co (0.712, 0.712, 0.364)
Co (0.712, 0.712, 0.712)
C (0.000, 0.000, 0.000)
C (0.000, 0.000, 0.500)
C (0.000, 0.500, 0.000)
C (0.500, 0.000, 0.000)

Calculated values
uncorrected energy	-0.3091	Ha/atom
Fermi-level density of states	1.44	states/eV/atom
crystal system	cubic
energy relative to the elements	0.076	eV per atom
space group	No. 227


[4]
Crystalline Cr2CuTc at its relaxed geometry, computed with PBE.

abc: 4.934 4.934 2.484
angles: 100.08 100.08 117.77
Fractional positions:
Cr (0.000, 0.500, 0.000)
Cr (0.500, 0.000, 0.000)
Cu (0.000, 0.000, 0.500)
Tc (0.500, 0.500, 0.500)

Calculated values
uncorrected energy	-0.3006	Ha/atom
Fermi-level density of states	0.67	states/eV/atom
crystal system	monoclinic
energy relative to the elements	0.246	eV per atom
space group	No. 12


[5]
Crystalline SrAc2Pd at its relaxed geometry, computed with PBE.

abc: 10.735 10.735 10.735
angles: 23.61 23.61 23.61
Fractional positions:
Sr (0.000, 0.000, 0.000)
Ac (0.553, 0.553, 0.553)
Ac (0.778, 0.778, 0.778)
Pd (0.165, 0.165, 0.165)

Calculated values
uncorrected energy	-0.1515	Ha/atom
Fermi-level density of states	1.18	states/eV/atom
crystal system	trigonal
energy relative to the elements	-0.349	eV per atom
space group	No. 160
excess energy over the best structure of this formula in the dataset	0.0349	eV/atom


[6]
Crystalline ZrNb6Ga8 at its relaxed geometry, computed with PBE.

abc: 6.844 6.844 6.844
angles: 68.94 68.94 68.94
Fractional positions:
Zr (0.000, 0.000, 0.000)
Nb (0.154, 0.641, 0.397)
Nb (0.359, 0.603, 0.846)
Nb (0.397, 0.154, 0.641)
Nb (0.603, 0.846, 0.359)
Nb (0.641, 0.397, 0.154)
Nb (0.846, 0.359, 0.603)
Ga (0.060, 0.422, 0.841)
Ga (0.159, 0.940, 0.578)
Ga (0.276, 0.276, 0.276)
Ga (0.422, 0.841, 0.060)
Ga (0.578, 0.159, 0.940)
Ga (0.724, 0.724, 0.724)
Ga (0.841, 0.060, 0.422)
Ga (0.940, 0.578, 0.159)

Calculated values
uncorrected energy	-0.2355	Ha/atom
Fermi-level density of states	0.72	states/eV/atom
crystal system	trigonal
energy relative to the elements	-0.197	eV per atom
space group	No. 148


[7]
Crystalline PrDy3Y6 at its relaxed geometry, computed with PBE.

abc: 11.583 11.583 6.425
angles: 90.00 90.00 130.60
Fractional positions:
Pr (0.162, 0.838, 0.500)
Pr (0.838, 0.162, 0.000)
Dy (0.043, 0.297, 0.474)
Dy (0.297, 0.043, 0.974)
Dy (0.418, 0.582, 0.587)
Dy (0.582, 0.418, 0.087)
Dy (0.703, 0.957, 0.474)
Dy (0.957, 0.703, 0.974)
Y (0.015, 0.985, 0.302)
Y (0.106, 0.542, 0.820)
Y (0.261, 0.379, 0.060)
Y (0.302, 0.698, 0.279)
Y (0.379, 0.261, 0.560)
Y (0.458, 0.894, 0.820)
Y (0.542, 0.106, 0.320)
Y (0.621, 0.739, 0.060)
Y (0.698, 0.302, 0.779)
Y (0.739, 0.621, 0.560)
Y (0.894, 0.458, 0.320)
Y (0.985, 0.015, 0.802)

Calculated values
uncorrected energy	-0.2066	Ha/atom
Fermi-level density of states	1.47	states/eV/atom
crystal system	orthorhombic
energy relative to the elements	0.115	eV per atom
space group	No. 36
excess energy over the best structure of this formula in the dataset	0.0000	eV/atom


[8]
Crystalline ZrIrW at its relaxed geometry, computed with PBE.

abc: 4.587 4.587 2.850
angles: 90.00 90.00 120.00
Fractional positions:
Zr (0.000, 0.000, 0.000)
Ir (0.333, 0.667, 0.402)
W (0.667, 0.333, 0.618)

Calculated values
uncorrected energy	-0.3721	Ha/atom
Fermi-level density of states	1.05	states/eV/atom
crystal system	trigonal
energy relative to the elements	-0.005	eV per atom
space group	No. 156
excess energy over the best structure of this formula in the dataset	0.2653	eV/atom


[9]
Crystalline TaRe2Mo at its relaxed geometry, computed with PBE.

abc: 4.481 4.481 4.481
angles: 60.00 60.00 60.00
Fractional positions:
Ta (0.000, 0.000, 0.000)
Re (0.500, 0.500, 0.500)
Re (0.750, 0.750, 0.750)
Mo (0.250, 0.250, 0.250)

Calculated values
uncorrected energy	-0.4402	Ha/atom
Fermi-level density of states	0.74	states/eV/atom
crystal system	cubic
energy relative to the elements	-0.083	eV per atom
space group	No. 216
excess energy over the best structure of this formula in the dataset	0.0695	eV/atom


[10]
Crystalline NbCuPdBr2 at its relaxed geometry, computed with PBE.

abc: 4.805 4.805 4.847
angles: 90.00 90.00 90.00
Fractional positions:
Nb (0.000, 0.000, 0.000)
Cu (0.500, 0.500, 0.500)
Pd (0.500, 0.500, 0.000)
Br (0.000, 0.500, 0.500)
Br (0.500, 0.000, 0.500)

Calculated values
uncorrected energy	-0.1376	Ha/atom
Fermi-level density of states	0.84	states/eV/atom
crystal system	tetragonal
space group	No. 123


[11]
Crystalline Ac2Pm2Er3 at its relaxed geometry, computed with PBE.

abc: 6.512 3.660 10.959
angles: 90.00 90.04 90.00
Fractional positions:
Ac (0.000, 0.000, 0.187)
Ac (0.000, 0.000, 0.813)
Pm (0.500, 0.500, 0.273)
Pm (0.500, 0.500, 0.727)
Er (0.249, 0.000, 0.500)
Er (0.500, 0.000, 0.000)
Er (0.751, 0.000, 0.500)

Calculated values
uncorrected energy	-0.1563	Ha/atom
Fermi-level density of states	1.72	states/eV/atom
crystal system	monoclinic
energy relative to the elements	0.233	eV per atom
space group	No. 10


[12]
Crystalline B2C at its relaxed geometry, computed with PBE.

abc: 6.681 6.681 5.027
angles: 102.38 102.38 23.07
Fractional positions:
B (0.000, 0.000, 0.000)
B (0.290, 0.290, 0.559)
B (0.509, 0.509, 0.608)
B (0.650, 0.650, 0.758)
B (0.672, 0.672, 0.174)
B (0.874, 0.874, 0.055)
B (0.896, 0.896, 0.672)
B (0.970, 0.970, 0.392)
C (0.218, 0.218, 0.766)
C (0.232, 0.232, 0.260)
C (0.298, 0.298, 0.042)
C (0.560, 0.560, 0.952)

Calculated values
uncorrected energy	-0.2618	Ha/atom
Fermi-level density of states	0.03	states/eV/atom
crystal system	monoclinic
energy relative to the elements	0.403	eV per atom
space group	No. 8
excess energy over the best structure of this formula in the dataset	0.2176	eV/atom


Q: Which of these has the lowest Fermi-level density of states?
A: B2C